# 1
A relaxed LaScCu2Si2 crystal. Source: the Alexandria database, functional PBE-GGA.

## Properties
M_tot: 0.0 Bohr magnetons per cell
Crystal system: trigonal
Raw formation energy: -0.655 eV per atom
SG: No. 164
Fermi-level density of states: 2.4 states/eV/f.u.
E_tot: -0.4193 Ry/atom

a b c (Å): 4.1837 4.1837 7.3125
angles (deg): 90.00 90.00 120.00
Closest atoms and distances in Å follow each position.
Element x y z (fractional)
La (0.0000, 0.0000, 0.0000)  6 Si 3.19, 6 Cu 3.32
Sc (0.0000, 0.0000, 0.5000)  6 Cu 2.78, 6 Si 2.89
Cu (0.3333, 0.6667, 0.6881)  3 Si 2.42
Cu (0.6667, 0.3333, 0.3119)  3 Si 2.42
Si (0.3333, 0.6667, 0.2840)  3 Cu 2.42
Si (0.6667, 0.3333, 0.7160)  3 Cu 2.42


# 2
A relaxed LaScCuSi crystal. Source: the Alexandria database, functional PBE-GGA.

## Properties
M_tot: 0.0 Bohr magnetons per cell
Crystal system: cubic
Raw formation energy: -0.361 eV per atom
SG: No. 216
Fermi-level density of states: 3.5 states/eV/f.u.
E_tot: -0.4084 Ry/atom

a b c (Å): 4.9465 4.9465 4.9465
angles (deg): 60.00 60.00 60.00
Closest atoms and distances in Å follow each position.
Element x y z (fractional)
La (0.0000, 0.0000, 0.0000)  4 Cu 3.03, 4 Si 3.03
Sc (0.5000, 0.5000, 0.5000)  4 Cu 3.03, 4 Si 3.03
Cu (0.7500, 0.7500, 0.7500)  4 La 3.03, 4 Sc 3.03
Si (0.2500, 0.2500, 0.2500)  4 Sc 3.03, 4 La 3.03


# 3
A relaxed LaSmScCu crystal. Source: the Alexandria database, functional PBE-GGA.

## Properties
M_tot: 0.0 Bohr magnetons per cell
Crystal system: cubic
SG: No. 216
DFT formation energy: 0.141 eV per atom
Fermi-level density of states: 4.0 states/eV/f.u.
E_tot: -0.3585 Ry/atom

a b c (Å): 5.3044 5.3044 5.3044
angles (deg): 60.00 60.00 60.00
Closest atoms and distances in Å follow each position.
Element x y z (fractional)
La (0.0000, 0.0000, 0.0000)  4 Cu 3.25, 4 Sc 3.25
Sm (0.5000, 0.5000, 0.5000)  4 Sc 3.25, 4 Cu 3.25
Sc (0.7500, 0.7500, 0.7500)  4 Sm 3.25, 4 La 3.25
Cu (0.2500, 0.2500, 0.2500)  4 Sm 3.25, 4 La 3.25


# 4
A relaxed La2ScCu3Sn4 crystal. Source: the Alexandria database, functional PBE-GGA.

## Properties
M_tot: 0.0 Bohr magnetons per cell
Crystal system: tetragonal
SG: No. 115
DFT formation energy: -0.509 eV per atom
Fermi-level density of states: 2.4 states/eV/f.u.
E_tot: -0.3643 Ry/atom

a b c (Å): 4.5136 4.5136 11.4806
angles (deg): 90.00 90.00 90.00
Closest atoms and distances in Å follow each position.
Element x y z (fractional)
La (0.0000, 0.5000, 0.2365)  6 Cu 3.43-3.77, 8 Sn 3.45-3.53, 2 Sc 3.77
La (0.5000, 0.0000, 0.7635)  6 Cu 3.43-3.77, 8 Sn 3.45-3.53, 2 Sc 3.77
Sc (0.0000, 0.0000, 0.5000)  4 Sn 2.83
Cu (0.0000, 0.5000, 0.8723)  5 Sn 2.57-2.69
Cu (0.5000, 0.0000, 0.1277)  5 Sn 2.57-2.69
Cu (0.5000, 0.5000, 0.5000)  4 Sn 2.83
Sn (0.0000, 0.0000, 0.0000)  4 Cu 2.69
Sn (0.0000, 0.5000, 0.6485)  3 Cu 2.57-2.83, 2 Sc 2.83
Sn (0.5000, 0.0000, 0.3515)  3 Cu 2.57-2.83, 2 Sc 2.83
Sn (0.5000, 0.5000, 0.0000)  4 Cu 2.69


# 5
A relaxed La2ScZn12Cu3 crystal. Source: the Alexandria database, functional PBE-GGA.

## Properties
M_tot: 0.0 Bohr magnetons per cell
Crystal system: trigonal
SG: No. 166
DFT formation energy: -0.011 eV per atom
Fermi-level density of states: 9.6 states/eV/f.u.
E_tot: -0.1795 Ry/atom

a b c (Å): 10.3148 10.3148 10.3148
angles (deg): 36.35 36.35 36.35
Closest atoms and distances in Å follow each position.
Element x y z (fractional)
La (0.1422, 0.1422, 0.1422)  12 Zn 3.17-3.50
La (0.8578, 0.8578, 0.8578)  12 Zn 3.17-3.50
Sc (0.5000, 0.5000, 0.5000)  6 Zn 2.96
Zn (0.0467, 0.6195, 0.6195)  4 Zn 2.62-2.75, 1 Cu 2.76
Zn (0.1782, 0.1782, 0.7788)  2 Cu 2.44, 4 Zn 2.57-2.62
Zn (0.1782, 0.7788, 0.1782)  2 Cu 2.44, 4 Zn 2.57-2.62
Zn (0.2212, 0.8218, 0.8218)  2 Cu 2.44, 4 Zn 2.57-2.62
Zn (0.3805, 0.3805, 0.9533)  4 Zn 2.62-2.75, 1 Cu 2.76
Zn (0.3805, 0.9533, 0.3805)  4 Zn 2.62-2.75, 1 Cu 2.76
Zn (0.6195, 0.0467, 0.6195)  4 Zn 2.62-2.75, 1 Cu 2.76
Zn (0.6195, 0.6195, 0.0467)  4 Zn 2.62-2.75, 1 Cu 2.76
Zn (0.7788, 0.1782, 0.1782)  2 Cu 2.44, 4 Zn 2.57-2.62
Zn (0.8218, 0.2212, 0.8218)  2 Cu 2.44, 4 Zn 2.57-2.62
Zn (0.8218, 0.8218, 0.2212)  2 Cu 2.44, 4 Zn 2.57-2.62
Zn (0.9533, 0.3805, 0.3805)  4 Zn 2.62-2.75, 1 Cu 2.76
Cu (0.0000, 0.5000, 0.5000)  4 Zn 2.44
Cu (0.5000, 0.0000, 0.5000)  4 Zn 2.44
Cu (0.5000, 0.5000, 0.0000)  4 Zn 2.44


# 6
A relaxed LaCu2Se crystal. Source: the Alexandria database, functional PBE-GGA.

## Properties
M_tot: 0.0 Bohr magnetons per cell
Crystal system: tetragonal
Raw formation energy: -0.353 eV per atom
SG: No. 139
Fermi-level density of states: 2.2 states/eV/f.u.
E_tot: -0.3311 Ry/atom

a b c (Å): 5.5317 5.5317 5.5317
angles (deg): 135.23 135.23 65.18
Closest atoms and distances in Å follow each position.
Element x y z (fractional)
La (0.0000, 0.0000, 0.0000)  4 Se 2.98, 8 Cu 3.14
Cu (0.2500, 0.7500, 0.5000)  4 Cu 2.98, 4 Se 3.14, 4 La 3.14
Cu (0.7500, 0.2500, 0.5000)  4 Cu 2.98, 4 Se 3.14, 4 La 3.14
Se (0.5000, 0.5000, 0.0000)  4 La 2.98, 8 Cu 3.14


# 7
A relaxed LaCuSe crystal. Source: the Alexandria database, functional PBE-GGA.

## Properties
M_tot: 0.0 Bohr magnetons per cell
Crystal system: trigonal
Raw formation energy: -0.911 eV per atom
SG: No. 156
Fermi-level density of states: 1.0 states/eV/f.u.
Energy relative to the lowest polymorph listed for this composition: 81.4 meV per atom
E_tot: -0.3734 Ry/atom

a b c (Å): 4.2955 4.2955 4.0935
angles (deg): 90.00 90.00 120.00
Closest atoms and distances in Å follow each position.
Element x y z (fractional)
La (0.0000, 0.0000, 0.0000)  6 Cu 3.20-3.23, 6 Se 3.21-3.22
Cu (0.3333, 0.6667, 0.5064)  3 Se 2.48
Se (0.6667, 0.3333, 0.4992)  3 Cu 2.48


# 8
A relaxed LaCu3Se crystal. Source: the Alexandria database, functional PBE-GGA.

## Properties
M_tot: 0.0 Bohr magnetons per cell
Crystal system: cubic
Raw formation energy: 1.240 eV per atom
SG: No. 221
Fermi-level density of states: 5.3 states/eV/f.u.
Energy relative to the lowest polymorph listed for this composition: 1081.1 meV per atom
E_tot: -0.2132 Ry/atom

a b c (Å): 5.1952 5.1952 5.1952
angles (deg): 90.00 90.00 90.00
Closest atoms and distances in Å follow each position.
Element x y z (fractional)
La (0.0000, 0.0000, 0.0000)  6 Cu 2.60
Cu (0.0000, 0.0000, 0.5000)  2 La 2.60
Cu (0.0000, 0.5000, 0.0000)  2 La 2.60
Cu (0.5000, 0.0000, 0.0000)  2 La 2.60
Se (0.5000, 0.5000, 0.5000)  12 Cu 3.67